The following is a PBE calculation of a relaxed K2SrTlCl5 crystal, from Alexandria.

Computed properties:
- space-group type = No. 123
- energy relative to the elements, uncorrected (eV per atom) = -1.8131
- size of the total moment (μB per formula unit) = 0.00

Cell lengths 5.514, 5.514, 11.674 Å; angles 90.00, 90.00, 90.00 degrees
Positions (direct):
Tl (0.000, 0.000, 0.000)
Sr (0.000, 0.000, 0.500)
Cl (0.500, 0.000, 0.500)
K (0.500, 0.500, 0.271)
Cl (0.500, 0.500, 0.000)
Cl (0.000, 0.500, 0.500)
Cl (0.000, 0.000, 0.255)
K (0.500, 0.500, 0.729)
Cl (0.000, 0.000, 0.745)

***

The following is a PBE calculation of a relaxed RbTePtW crystal, from Alexandria.

Computed properties:
- distance to the lowest polymorph of the same formula (eV/atom) = 0.102
- space-group type = No. 8
- energy relative to the elements, uncorrected (eV per atom) = 0.1911
- size of the total moment (μB per formula unit) = 0.00

Cell lengths 9.260, 3.725, 6.471 Å; angles 90.00, 103.51, 90.00 degrees
Positions (direct):
W (0.396, 0.500, 0.374)
Rb (0.938, 0.000, 0.721)
Rb (0.938, 0.500, 0.221)
Pt (0.242, 0.000, 0.155)
Pt (0.242, 0.500, 0.655)
Te (0.597, 0.500, 0.774)
W (0.396, 0.000, 0.874)
Te (0.597, 0.000, 0.274)

***

The following is a PBE calculation of a relaxed Ho4TeIr crystal, from Alexandria.

Computed properties:
- distance to the lowest polymorph of the same formula (eV/atom) = 0.288
- space-group type = No. 12
- energy relative to the elements, uncorrected (eV per atom) = -0.5471
- size of the total moment (μB per formula unit) = 0.00

Cell lengths 5.400, 10.614, 9.599 Å; angles 120.18, 90.00, 104.74 degrees
Positions (direct):
Te (0.168, 0.337, 0.294)
Ho (0.755, 0.511, 0.324)
Ho (0.969, 0.937, 0.640)
Ho (0.605, 0.209, 0.689)
Ir (0.114, 0.228, 0.683)
Ir (0.886, 0.772, 0.317)
Ho (0.199, 0.397, 0.007)
Ho (0.245, 0.489, 0.676)
Te (0.832, 0.663, 0.706)
Ho (0.395, 0.791, 0.311)
Ho (0.801, 0.603, 0.993)
Ho (0.031, 0.063, 0.360)

***

The following is a PBE calculation of a relaxed Dy2SiO crystal, from Alexandria.

Computed properties:
- distance to the lowest polymorph of the same formula (eV/atom) = 0.000
- space-group type = No. 13
- energy relative to the elements, uncorrected (eV per atom) = -1.6747
- size of the total moment (μB per formula unit) = 0.00

Cell lengths 5.629, 5.719, 10.473 Å; angles 93.72, 90.00, 90.00 degrees
Positions (direct):
Dy (0.232, 0.544, 0.858)
Dy (0.781, 0.514, 0.607)
Si (0.269, 0.983, 0.374)
Dy (0.219, 0.486, 0.393)
Si (0.731, 0.483, 0.874)
Dy (0.781, 0.986, 0.893)
Si (0.731, 0.017, 0.626)
Dy (0.219, 0.014, 0.107)
Dy (0.768, 0.044, 0.358)
O (0.822, 0.431, 0.378)
O (0.822, 0.069, 0.122)
Dy (0.768, 0.456, 0.142)
O (0.178, 0.931, 0.878)
Dy (0.232, 0.956, 0.642)
Si (0.269, 0.517, 0.126)
O (0.178, 0.569, 0.622)

***

The following is a PBE calculation of a relaxed CuTcRh2 crystal, from Alexandria.

Computed properties:
- E_form (meV/atom) = 554.4
- distance to the lowest polymorph of the same formula (eV/atom) = 0.621
- space-group type = No. 122
- size of the total moment (μB per formula unit) = 0.00

Cell lengths 6.779, 6.779, 5.498 Å; angles 51.94, 51.94, 90.00 degrees
Positions (direct):
Rh (0.875, 0.891, 0.750)
Rh (0.375, 0.359, 0.750)
Rh (0.109, 0.625, 0.250)
Tc (0.000, 0.000, 0.000)
Cu (0.250, 0.750, 0.500)
Tc (0.750, 0.250, 0.500)
Cu (0.500, 0.500, 0.000)
Rh (0.641, 0.125, 0.250)

***

The following is a PBE calculation of a relaxed Y2TmTlO6 crystal, from Alexandria.

Computed properties:
- space-group type = No. 146
- energy relative to the elements, uncorrected (eV per atom) = -2.8090
- size of the total moment (μB per formula unit) = 0.00

Cell lengths 5.797, 5.797, 6.093 Å; angles 61.59, 61.59, 60.00 degrees
Positions (direct):
Y (0.026, 0.026, 0.923)
O (0.115, 0.425, 0.745)
O (0.914, 0.627, 0.256)
Tl (0.306, 0.306, 0.083)
O (0.203, 0.914, 0.256)
O (0.425, 0.716, 0.745)
Tm (0.809, 0.809, 0.572)
O (0.716, 0.115, 0.745)
O (0.627, 0.203, 0.256)
Y (0.521, 0.521, 0.436)

***

The following is a PBE calculation of a relaxed K2NdH6 crystal, from Alexandria.

Computed properties:
- raw total energy (eV/atom) = -2.8108
- space-group type = No. 225
- size of the total moment (μB per formula unit) = 1.04

Cell lengths 6.296, 6.296, 6.296 Å; angles 60.00, 60.00, 60.00 degrees
Positions (direct):
H (0.748, 0.252, 0.252)
Nd (0.000, 0.000, 0.000)
K (0.250, 0.250, 0.250)
H (0.252, 0.748, 0.252)
H (0.748, 0.748, 0.252)
K (0.750, 0.750, 0.750)
H (0.252, 0.252, 0.748)
H (0.748, 0.252, 0.748)
H (0.252, 0.748, 0.748)

***

The following is a PBE calculation of a relaxed La2MnNbTe crystal, from Alexandria.

Computed properties:
- space-group type = No. 123
- energy relative to the elements, uncorrected (eV per atom) = 0.8418
- size of the total moment (μB per formula unit) = 3.51

Cell lengths 5.981, 4.591, 5.981 Å; angles 90.00, 90.00, 90.00 degrees
Positions (direct):
La (0.000, 0.000, 0.500)
Nb (0.500, 0.500, 0.500)
La (0.500, 0.000, 0.000)
Mn (0.000, 0.500, 0.000)
Te (0.000, 0.000, 0.000)

***

The following is a PBE calculation of a relaxed LaGdTlCu crystal, from Alexandria.

Computed properties:
- E_form (meV/atom) = -236.6
- space-group type = No. 216
- size of the total moment (μB per formula unit) = 7.57

Cell lengths 5.346, 5.346, 5.346 Å; angles 60.00, 60.00, 60.00 degrees
Positions (direct):
La (0.250, 0.250, 0.250)
Gd (0.750, 0.750, 0.750)
Cu (0.500, 0.500, 0.500)
Tl (0.000, 0.000, 0.000)

***

The following is a PBE calculation of a relaxed TaRuN crystal, from Alexandria.

Computed properties:
- distance to the lowest polymorph of the same formula (eV/atom) = 0.085
- space-group type = No. 8
- energy relative to the elements, uncorrected (eV per atom) = -0.4537
- size of the total moment (μB per formula unit) = 0.00

Cell lengths 2.910, 10.054, 5.445 Å; angles 90.00, 94.85, 90.00 degrees
Positions (direct):
N (0.041, 0.207, 0.687)
Ru (0.792, 0.500, 0.646)
N (0.041, 0.793, 0.687)
Ta (0.522, 0.809, 0.406)
Ta (0.522, 0.309, 0.906)
Ru (0.142, 0.000, 0.722)
N (0.041, 0.707, 0.187)
Ta (0.522, 0.691, 0.906)
Ta (0.522, 0.191, 0.406)
Ru (0.792, 0.000, 0.146)
N (0.041, 0.293, 0.187)
Ru (0.142, 0.500, 0.222)

***

The following is a PBE calculation of a relaxed PrTmO3 crystal, from Alexandria.

Computed properties:
- space-group type = No. 11
- energy relative to the elements, uncorrected (eV per atom) = -3.4104
- size of the total moment (μB per formula unit) = 0.00

Cell lengths 3.925, 5.788, 9.026 Å; angles 116.83, 90.00, 90.00 degrees
Positions (direct):
Tm (0.250, 0.698, 0.833)
O (0.250, 0.855, 0.658)
Tm (0.750, 0.838, 0.167)
Pr (0.250, 0.443, 0.397)
O (0.250, 0.950, 0.112)
Pr (0.750, 0.094, 0.603)
O (0.750, 0.681, 0.342)
O (0.750, 0.586, 0.888)
O (0.250, 0.331, 0.620)
O (0.750, 0.205, 0.380)

***

The following is a PBE calculation of a relaxed TbPrGdPu crystal, from Alexandria.

Computed properties:
- E_form (meV/atom) = 205.3
- space-group type = No. 216
- size of the total moment (μB per formula unit) = 14.61

Cell lengths 5.674, 5.674, 5.674 Å; angles 60.00, 60.00, 60.00 degrees
Positions (direct):
Pu (0.000, 0.000, 0.000)
Pr (0.250, 0.250, 0.250)
Gd (0.750, 0.750, 0.750)
Tb (0.500, 0.500, 0.500)

***

It is found that the ρ values, taken in the order of the records, are 2.56; 9.06; 7.16; 7.29; 9.86; 7.25; 2.15; 5.59; 8.67; 12.39; 6.49; 9.01 g/cm³.
It is found that the calculated volume values, taken in the order of the records, are 354.99; 217.01; 454.55; 336.46; 123.78; 148.17; 176.44; 164.23; 108.06; 158.72; 183.00; 129.15 Å³/cell.
It is found that the DOS(E_F) values, taken in the order of the records, are 0.00; 6.27; 10.24; 2.53; 10.60; 0.00; 3.82; 6.83; 4.71; 4.41; 0.00; 12.79 states/eV per cell.